1.
The following is a GGA-PBE calculation of an optimized crystal structure of PmHoBi2, from Alexandria.

Summary:
energy of formation: -811 meV per atom
electronic total energy: -5.08 eV/atom
magnetic moment: 0.0 μB/cell
E above lowest polymorph: 1.73 kcal/mol of atoms

Unit cell a=4.508 b=4.508 c=14.960 alpha=90.00 beta=90.00 gamma=120.00
Element x y z (fractional)
1 Pm 0.000 0.000 0.000
2 Pm 0.000 0.000 0.500
3 Ho 0.333 0.667 0.250
4 Ho 0.667 0.333 0.750
5 Bi 0.333 0.667 0.626
6 Bi 0.333 0.667 0.874
7 Bi 0.667 0.333 0.126
8 Bi 0.667 0.333 0.374

2.
The following is a GGA-PBE calculation of an optimized crystal structure of Pm2Ni3Ru, from Alexandria.

Summary:
energy of formation: 40 meV per atom
electronic total energy: -5.98 eV/atom
magnetic moment: 0.0 μB/cell
E above lowest polymorph: 7.89 kcal/mol of atoms

Unit cell a=4.287 b=5.214 c=10.206 alpha=90.00 beta=90.00 gamma=90.00
Element x y z (fractional)
1 Pm 0.000 0.000 0.183
2 Pm 0.000 0.000 0.817
3 Pm 0.500 0.500 0.317
4 Pm 0.500 0.500 0.683
5 Ni 0.000 0.500 0.115
6 Ni 0.000 0.500 0.500
7 Ni 0.000 0.500 0.885
8 Ni 0.500 0.000 0.000
9 Ni 0.500 0.000 0.385
10 Ni 0.500 0.000 0.615
11 Ru 0.000 0.000 0.500
12 Ru 0.500 0.500 0.000

Q: energy of formation of number 1 (PmHoBi2)?
A: -811 meV per atom

Q: Number 2 is which compound?
A: Pm2Ni3Ru

Q: Which formula does entry 2 have?
A: Pm2Ni3Ru

Q: energy of formation of number 2 (Pm2Ni3Ru)?
A: 40 meV per atom